No. 1
! PaCr4InS8 (GGA-PBE, optimized geometry); values from VASP
! ΔE_f (raw) in eV per atom: -0.693
! Space-group type: R3m
&SYSTEM
  ibrav = 0, nat = 14, ntyp = 4
/
ATOMIC_SPECIES
Pa 231.04 Pa.upf
Cr 52.00 Cr.upf
In 114.82 In.upf
S 32.06 S.upf
CELL_PARAMETERS angstrom
3.410 1.969 6.377
-3.410 1.969 6.377
0.000 -3.938 6.377
ATOMIC_POSITIONS crystal
Pa 0.000 0.000 0.000
Cr 0.551 0.966 0.966
Cr 0.626 0.626 0.626
Cr 0.966 0.551 0.966
Cr 0.966 0.966 0.551
In 0.347 0.347 0.347
S 0.212 0.212 0.212
S 0.230 0.740 0.740
S 0.262 0.262 0.773
S 0.262 0.773 0.262
S 0.740 0.230 0.740
S 0.740 0.740 0.230
S 0.746 0.746 0.746
S 0.773 0.262 0.262

No. 2
! Cr2InPb (GGA-PBE, optimized geometry); values from VASP
! DFT formation energy in eV per atom: 0.53
! Space-group type: Amm2
&SYSTEM
  ibrav = 0, nat = 4, ntyp = 3
/
ATOMIC_SPECIES
Cr 52.00 Cr.upf
In 114.82 In.upf
Pb 207.20 Pb.upf
CELL_PARAMETERS angstrom
4.397 0.000 0.000
0.000 1.740 5.450
0.000 -1.740 5.450
ATOMIC_POSITIONS crystal
Cr 0.000 0.000 0.000
Cr 0.500 0.114 0.114
In 0.000 0.716 0.716
Pb 0.500 0.388 0.388

No. 3
! Cr2InPb (GGA-PBE, optimized geometry); values from VASP
! DFT formation energy in eV per atom: 0.56
! Space-group type: Cmmm
&SYSTEM
  ibrav = 0, nat = 4, ntyp = 3
/
ATOMIC_SPECIES
Cr 52.00 Cr.upf
In 114.82 In.upf
Pb 207.20 Pb.upf
CELL_PARAMETERS angstrom
3.152 -4.053 0.000
3.152 4.053 0.000
0.000 0.000 3.219
ATOMIC_POSITIONS crystal
Cr 0.000 0.500 0.000
Cr 0.500 0.000 0.000
In 0.000 0.000 0.500
Pb 0.500 0.500 0.500

No. 4
! Cr2InPb (GGA-PBE, optimized geometry); values from VASP
! DFT formation energy in eV per atom: 0.83
! Space-group type: I-42d
&SYSTEM
  ibrav = 0, nat = 8, ntyp = 3
/
ATOMIC_SPECIES
Cr 52.00 Cr.upf
In 114.82 In.upf
Pb 207.20 Pb.upf
CELL_PARAMETERS angstrom
-3.811 3.811 3.102
3.811 -3.811 3.102
3.811 3.811 -3.102
ATOMIC_POSITIONS crystal
Cr 0.121 0.625 0.996
Cr 0.375 0.371 0.496
Cr 0.629 0.125 0.004
Cr 0.875 0.879 0.504
In 0.000 0.000 0.000
In 0.750 0.250 0.500
Pb 0.250 0.750 0.500
Pb 0.500 0.500 0.000

No. 5
! CrInPb (GGA-PBE, optimized geometry); values from VASP
! DFT formation energy in eV per atom: 0.38
! Relative energy among the computed polymorphs in kcal/mol of atoms: 0.00
! Space-group type: F-43m
&SYSTEM
  ibrav = 0, nat = 3, ntyp = 3
/
ATOMIC_SPECIES
Cr 52.00 Cr.upf
In 114.82 In.upf
Pb 207.20 Pb.upf
CELL_PARAMETERS angstrom
0.000 3.349 3.349
3.349 0.000 3.349
3.349 3.349 0.000
ATOMIC_POSITIONS crystal
Cr 0.000 0.000 0.000
In 0.250 0.250 0.250
Pb 0.750 0.750 0.750

No. 6
! Cr2InPb (GGA-PBE, optimized geometry); values from VASP
! DFT formation energy in eV per atom: 0.33
! Space-group type: P4mm
&SYSTEM
  ibrav = 0, nat = 4, ntyp = 3
/
ATOMIC_SPECIES
Cr 52.00 Cr.upf
In 114.82 In.upf
Pb 207.20 Pb.upf
CELL_PARAMETERS angstrom
3.119 0.000 0.000
0.000 3.119 0.000
0.000 0.000 8.394
ATOMIC_POSITIONS crystal
Cr 0.000 0.000 0.000
Cr 0.500 0.500 0.133
In 0.000 0.000 0.362
Pb 0.500 0.500 0.737

No. 7
! CrInPb4 (GGA-PBE, optimized geometry); values from VASP
! DFT formation energy in eV per atom: 0.49
! Space-group type: F-43m
&SYSTEM
  ibrav = 0, nat = 6, ntyp = 3
/
ATOMIC_SPECIES
Cr 52.00 Cr.upf
In 114.82 In.upf
Pb 207.20 Pb.upf
CELL_PARAMETERS angstrom
0.000 4.557 4.557
4.557 0.000 4.557
4.557 4.557 0.000
ATOMIC_POSITIONS crystal
Cr 0.000 0.000 0.000
In 0.750 0.750 0.750
Pb 0.375 0.375 0.375
Pb 0.375 0.375 0.876
Pb 0.375 0.876 0.375
Pb 0.876 0.375 0.375

No. 8
! Cr2InPb (GGA-PBE, optimized geometry); values from VASP
! DFT formation energy in eV per atom: 0.60
! Space-group type: C2/m
&SYSTEM
  ibrav = 0, nat = 4, ntyp = 3
/
ATOMIC_SPECIES
Cr 52.00 Cr.upf
In 114.82 In.upf
Pb 207.20 Pb.upf
CELL_PARAMETERS angstrom
4.578 -1.667 0.000
4.578 1.667 0.000
-1.189 0.000 5.568
ATOMIC_POSITIONS crystal
Cr 0.248 0.248 0.239
Cr 0.752 0.752 0.761
In 0.500 0.500 0.000
Pb 0.000 0.000 0.500

No. 9
! Cr4InPb (GGA-PBE, optimized geometry); values from VASP
! DFT formation energy in eV per atom: 0.59
! Space-group type: F-43m
&SYSTEM
  ibrav = 0, nat = 6, ntyp = 3
/
ATOMIC_SPECIES
Cr 52.00 Cr.upf
In 114.82 In.upf
Pb 207.20 Pb.upf
CELL_PARAMETERS angstrom
0.000 3.581 3.581
3.581 0.000 3.581
3.581 3.581 0.000
ATOMIC_POSITIONS crystal
Cr 0.124 0.124 0.124
Cr 0.124 0.124 0.629
Cr 0.124 0.629 0.124
Cr 0.629 0.124 0.124
In 0.750 0.750 0.750
Pb 0.500 0.500 0.500

No. 10
! CrInPb (GGA-PBE, optimized geometry); values from VASP
! DFT formation energy in eV per atom: 0.46
! Relative energy among the computed polymorphs in kcal/mol of atoms: 2.03
! Space-group type: P3m1
&SYSTEM
  ibrav = 0, nat = 3, ntyp = 3
/
ATOMIC_SPECIES
Cr 52.00 Cr.upf
In 114.82 In.upf
Pb 207.20 Pb.upf
CELL_PARAMETERS angstrom
3.449 0.000 0.000
-1.725 2.987 0.000
0.000 0.000 7.029
ATOMIC_POSITIONS crystal
Cr 0.000 0.000 0.000
In 0.667 0.333 0.300
Pb 0.333 0.667 0.682

No. 11
! Cr2InPb (GGA-PBE, optimized geometry); values from VASP
! DFT formation energy in eV per atom: 0.53
! Space-group type: P4/mmm
&SYSTEM
  ibrav = 0, nat = 4, ntyp = 3
/
ATOMIC_SPECIES
Cr 52.00 Cr.upf
In 114.82 In.upf
Pb 207.20 Pb.upf
CELL_PARAMETERS angstrom
3.452 0.000 0.000
0.000 3.452 0.000
0.000 0.000 7.023
ATOMIC_POSITIONS crystal
Cr 0.000 0.000 0.229
Cr 0.000 0.000 0.771
In 0.500 0.500 0.000
Pb 0.500 0.500 0.500

No. 12
! Cr2InPb (GGA-PBE, optimized geometry); values from VASP
! DFT formation energy in eV per atom: 0.64
! Space-group type: Pmm2
&SYSTEM
  ibrav = 0, nat = 4, ntyp = 3
/
ATOMIC_SPECIES
Cr 52.00 Cr.upf
In 114.82 In.upf
Pb 207.20 Pb.upf
CELL_PARAMETERS angstrom
3.385 0.000 0.000
0.000 4.302 0.000
0.000 0.000 5.894
ATOMIC_POSITIONS crystal
Cr 0.000 0.000 0.000
Cr 0.500 0.500 0.290
In 0.000 0.000 0.476
Pb 0.500 0.500 0.803

| no. | final energy (Ry per atom) |
| --- | --- |
| 1 | -0.491 |
| 2 | -0.433 |
| 3 | -0.431 |
| 4 | -0.411 |
| 5 | -0.366 |
| 6 | -0.448 |
| 7 | -0.297 |
| 8 | -0.428 |
| 9 | -0.507 |
| 10 | -0.360 |
| 11 | -0.433 |
| 12 | -0.425 |